Density functional theory data (PBE) for a geometry-optimized Ag5Ru structure.

Summary:
space-group type	Amm2
E_tot	-3.630	eV per atom
density	10.4	g/cm3
density of states at the Fermi level	2.0	states/eV/f.u.
energy above the most stable polymorph in this dataset	0.003	eV per atom
ΔE_f	0.292	eV per atom

Unit cell a=4.815 b=7.807 c=7.807 alpha=20.48 beta=90.00 gamma=90.00
Fractional positions:
1 Ag 0.000 0.000 0.000
2 Ag 0.000 0.328 0.328
3 Ag 0.500 0.107 0.107
4 Ag 0.500 0.437 0.437
5 Ag 0.500 0.769 0.769
6 Ru 0.000 0.662 0.662